1.
A plane-wave DFT calculation with PBE was carried out for an optimized crystal structure of Dy2Cu15Ni2.

Cell lengths 6.424, 6.424, 6.424 Å; angles 82.87, 82.87, 82.87 degrees
Fractional coordinates of all 19 atoms:
Dy  0.334  0.334  0.334
Dy  0.666  0.666  0.666
Cu  0.500  0.000  0.000
Cu  0.000  0.000  0.500
Cu  0.000  0.500  0.000
Cu  0.000  0.707  0.293
Cu  0.707  0.293  0.000
Cu  0.293  0.000  0.707
Cu  0.293  0.707  0.000
Cu  0.707  0.000  0.293
Cu  0.000  0.293  0.707
Cu  0.153  0.653  0.653
Cu  0.653  0.653  0.153
Cu  0.653  0.153  0.653
Cu  0.847  0.347  0.347
Cu  0.347  0.347  0.847
Cu  0.347  0.847  0.347
Ni  0.098  0.098  0.098
Ni  0.902  0.902  0.902

Computed properties:
As for the formation energy: -0.1222 eV/atom. The value obtained for the total energy is -4.45 eV/atom. The value obtained for the density is 8933 kg/m3.

=====

2.
A plane-wave DFT calculation with PBE was carried out for an optimized crystal structure of NbNiSn2.

Cell lengths 4.724, 4.724, 4.724 Å; angles 60.00, 60.00, 60.00 degrees
Fractional coordinates of all 4 atoms:
Ni  0.000  0.000  0.000
Nb  0.500  0.500  0.500
Sn  0.250  0.250  0.250
Sn  0.750  0.750  0.750

Computed properties:
As for the formation energy: 0.2044 eV/atom. The value obtained for the total energy is -5.76 eV/atom. The value obtained for the density is 8663 kg/m3.

=====

3.
A plane-wave DFT calculation with PBE was carried out for an optimized crystal structure of PmIn2Cu2.

Cell lengths 4.584, 4.584, 10.273 Å; angles 90.00, 90.00, 91.19 degrees
Fractional coordinates of all 10 atoms:
Pm  0.779  0.779  0.250
Pm  0.221  0.221  0.750
In  0.695  0.695  0.612
In  0.305  0.305  0.112
In  0.695  0.695  0.888
In  0.305  0.305  0.388
Cu  0.196  0.804  0.000
Cu  0.804  0.196  0.500
Cu  0.196  0.804  0.500
Cu  0.804  0.196  0.000

Computed properties:
As for the energy relative to the lowest polymorph listed for this composition: 0.24 eV per formula unit. As for the formation energy: -0.2193 eV/atom. The value obtained for the total energy is -3.90 eV/atom. The value obtained for the density is 7721 kg/m3.

=====

4.
A plane-wave DFT calculation with PBE was carried out for an optimized crystal structure of CaNdNiIr.

Cell lengths 4.909, 4.909, 4.909 Å; angles 60.00, 60.00, 60.00 degrees
Fractional coordinates of all 4 atoms:
Ni  0.250  0.250  0.250
Ca  0.000  0.000  0.000
Ir  0.750  0.750  0.750
Nd  0.500  0.500  0.500

Computed properties:
As for the formation energy: -0.2964 eV/atom. The value obtained for the total energy is -5.65 eV/atom. The value obtained for the density is 8639 kg/m3.

=====

5.
A plane-wave DFT calculation with PBE was carried out for an optimized crystal structure of BaHgBIr2.

Cell lengths 5.237, 5.237, 6.289 Å; angles 90.00, 90.00, 90.00 degrees
Fractional coordinates of all 5 atoms:
B  0.500  0.500  0.500
Ir  0.000  0.500  0.000
Ir  0.500  0.000  0.000
Hg  0.000  0.000  0.500
Ba  0.000  0.000  0.000

Computed properties:
As for the formation energy: 2.8388 eV/atom. The value obtained for the total energy is -2.49 eV/atom. The value obtained for the density is 7059 kg/m3.

=====

6.
A plane-wave DFT calculation with PBE was carried out for an optimized crystal structure of AcCd3Ag8.

Cell lengths 5.631, 5.631, 9.898 Å; angles 73.47, 73.47, 60.00 degrees
Fractional coordinates of all 12 atoms:
Ac  0.875  0.875  0.374
Cd  0.373  0.373  0.880
Cd  0.006  0.006  0.981
Cd  0.485  0.485  0.544
Ag  0.944  0.441  0.175
Ag  0.433  0.937  0.692
Ag  0.441  0.441  0.175
Ag  0.937  0.937  0.692
Ag  0.188  0.188  0.436
Ag  0.689  0.689  0.933
Ag  0.441  0.944  0.175
Ag  0.937  0.433  0.692

Computed properties:
As for the formation energy: -0.0779 eV/atom. The value obtained for the total energy is -2.55 eV/atom. The value obtained for the density is 9232 kg/m3.

=====

7.
A plane-wave DFT calculation with PBE was carried out for an optimized crystal structure of Tb4Pr2Er.

Cell lengths 7.285, 11.449, 11.449 Å; angles 89.98, 90.00, 90.00 degrees
Fractional coordinates of all 28 atoms:
Tb  0.251  0.283  0.500
Tb  0.748  0.283  0.500
Tb  0.248  0.000  0.217
Tb  0.751  0.000  0.783
Tb  0.751  0.000  0.217
Tb  0.248  0.000  0.783
Tb  0.748  0.717  0.500
Tb  0.251  0.717  0.500
Tb  0.249  0.783  0.000
Tb  0.752  0.783  0.000
Tb  0.252  0.500  0.717
Tb  0.749  0.500  0.283
Tb  0.749  0.500  0.717
Tb  0.252  0.500  0.283
Tb  0.752  0.217  0.000
Tb  0.249  0.217  0.000
Pr  0.500  0.248  0.248
Pr  0.000  0.252  0.748
Pr  0.000  0.748  0.252
Pr  0.500  0.752  0.752
Pr  0.500  0.752  0.248
Pr  0.000  0.748  0.748
Pr  0.500  0.248  0.752
Pr  0.000  0.252  0.252
Er  0.499  0.000  0.500
Er  0.999  0.000  0.500
Er  0.501  0.500  0.000
Er  0.001  0.500  0.000

Computed properties:
As for the energy relative to the lowest polymorph listed for this composition: 0.00 eV per formula unit. As for the formation energy: 0.1893 eV/atom. The value obtained for the total energy is -4.47 eV/atom. The value obtained for the density is 7545 kg/m3.

=====

8.
A plane-wave DFT calculation with PBE was carried out for an optimized crystal structure of Sm6Bi2TeSe3.

Cell lengths 4.331, 8.734, 9.754 Å; angles 103.67, 102.83, 90.00 degrees
Fractional coordinates of all 12 atoms:
Sm  0.327  0.928  0.654
Sm  0.662  0.596  0.323
Sm  0.673  0.072  0.346
Sm  0.995  0.268  0.989
Sm  0.005  0.732  0.011
Sm  0.338  0.404  0.677
Bi  0.834  0.668  0.668
Bi  0.166  0.332  0.332
Te  0.500  0.000  0.000
Se  0.500  0.500  0.000
Se  0.834  0.166  0.667
Se  0.166  0.834  0.333

Computed properties:
As for the formation energy from raw total energies: -17.3 eV/f.u. The value obtained for the total energy is -5.58 eV/atom. The value obtained for the density is 8015 kg/m3.